Entry 1:
Density functional theory data (GGA-PBE) for a geometry-optimized CdPPt3 structure.

The calculation puts the formation energy at -0.20 eV per atom.

The space group is P6_3/mmc (No. 194) and the conventional cell measures 6.3110, 6.3110 and 4.9242 Å, with angles of 90.00, 90.00 and 120.00 degrees. The asymmetric unit holds Cd at (0.3333, 0.6667, 0.2500), P at (0.0000, 0.0000, 0.0000) and Pt at (0.1863, 0.3726, 0.7500).

Entry 2:
Density functional theory data (GGA-PBE) for a geometry-optimized CaIn3Ir structure.

The calculation puts the formation energy at -0.35 eV per atom.

The space group is Pnma (No. 62) and the conventional cell measures 9.2068, 4.4318 and 11.7626 Å, with angles of 90.00, 90.00 and 90.00 degrees. The asymmetric unit holds Ca at (0.2045, 0.2500, 0.0002), In at (0.0550, 0.2500, 0.4155), In at (0.0964, 0.7500, 0.2010), In at (0.1557, 0.7500, 0.7890) and Ir at (0.1214, 0.2500, 0.6438).

Entry 3:
Density functional theory data (GGA-PBE) for a geometry-optimized LiThAlPt2 structure.

The calculation puts the formation energy at -0.98 eV per atom.

The space group is I-4m2 (No. 119) and the conventional cell measures 3.9036, 3.9036 and 12.4770 Å, with angles of 90.00, 90.00 and 90.00 degrees. The asymmetric unit holds Li at (0.0000, 0.0000, 0.0000), Th at (0.0000, 0.5000, 0.2500), Al at (0.0000, 0.0000, 0.5000) and Pt at (0.0000, 0.5000, 0.6378).

Entry 4:
Density functional theory data (GGA-PBE) for a geometry-optimized Dy2TmTl3 structure.

The calculation puts the formation energy at -0.33 eV per atom.

The space group is P4/mmm (No. 123) and the conventional cell measures 3.6469, 3.6469 and 12.2275 Å, with angles of 90.00, 90.00 and 90.00 degrees. The asymmetric unit holds Dy at (0.0000, 0.0000, 0.1679), Tm at (0.0000, 0.0000, 0.5000), Tl at (0.5000, 0.5000, 0.0000) and Tl at (0.5000, 0.5000, 0.3360).